Record 1
Below is a crystal of Ba2CdGeSb relaxed with PBEsol, with properties calculated at the SCAN level.

ΔE_f (raw)	-0.124	eV/atom

a b c (Å): 5.263 6.500 6.500
angles (deg): 90.00 90.00 90.00
Fractional coordinates of all 5 atoms:
Ba 0.000 0.000 0.500
Ba 0.000 0.500 0.000
Sb 0.000 0.000 0.000
Cd 0.500 0.500 0.500
Ge 0.500 0.000 0.000

Record 2
Below is a crystal of ZrS2 relaxed with PBEsol, with properties calculated at the SCAN level.

ΔE_f (raw)	-1.772	eV/atom

a b c (Å): 3.622 3.622 5.800
angles (deg): 90.00 90.00 120.00
Fractional coordinates of all 3 atoms:
S 0.333 0.667 0.251
Zr 0.000 0.000 0.000
S 0.667 0.333 0.749

Record 3
Below is a crystal of LiCoSe3 relaxed with PBEsol, with properties calculated at the SCAN level.

ΔE_f (raw)	0.010	eV/atom

a b c (Å): 4.678 4.678 4.678
angles (deg): 90.00 90.00 90.00
Each line ends with the local moment (μB).
Fractional coordinates of all 5 atoms:
Co 0.000 0.000 0.000  1.37
Li 0.500 0.500 0.500  0.00
Se 0.000 0.000 0.500  -0.04
Se 0.500 0.000 0.000  -0.04
Se 0.000 0.500 0.000  -0.04

Record 4
Below is a crystal of ZrScAu2 relaxed with PBEsol, with properties calculated at the SCAN level.

offset from the most stable computed form	0.020	eV/atom

a b c (Å): 3.239 3.239 7.198
angles (deg): 90.00 90.00 90.00
Fractional coordinates of all 4 atoms:
Au 0.000 0.000 0.266
Sc 0.500 0.500 0.500
Au 0.000 0.000 0.734
Zr 0.500 0.500 0.000

Record 5
Below is a crystal of CsBe3Fe relaxed with PBEsol, with properties calculated at the SCAN level.

VASP energy	-10.8592	eV/atom

a b c (Å): 4.803 4.803 4.803
angles (deg): 90.00 90.00 90.00
Each line ends with the local moment (μB).
Fractional coordinates of all 5 atoms:
Be 0.000 0.000 0.500  -0.03
Be 0.000 0.500 0.000  -0.03
Cs 0.000 0.000 0.000  -0.34
Fe 0.500 0.500 0.500  3.42
Be 0.500 0.000 0.000  -0.03

Record 6
Below is a crystal of NbSb3Ir relaxed with PBEsol, with properties calculated at the SCAN level.

ΔE_f (raw)	1.281	eV/atom

a b c (Å): 5.173 5.173 5.173
angles (deg): 90.00 90.00 90.00
Each line ends with the local moment (μB).
Fractional coordinates of all 5 atoms:
Ir 0.500 0.500 0.500  1.54
Nb 0.000 0.000 0.000  0.31
Sb 0.000 0.500 0.000  -0.05
Sb 0.500 0.000 0.000  -0.05
Sb 0.000 0.000 0.500  -0.05

Record 7
Below is a crystal of Sr2MgTiTc relaxed with PBEsol, with properties calculated at the SCAN level.

VASP energy	-19.3855	eV/atom

a b c (Å): 4.274 6.171 6.171
angles (deg): 90.00 90.00 90.00
Each line ends with the local moment (μB).
Fractional coordinates of all 5 atoms:
Ti 0.000 0.000 0.000  0.31
Tc 0.500 0.000 0.000  -0.49
Sr 0.000 0.000 0.500  0.02
Mg 0.500 0.500 0.500  0.00
Sr 0.000 0.500 0.000  0.02

Record 8
Below is a crystal of PrPd2O4 relaxed with PBEsol, with properties calculated at the SCAN level.

ΔE_f (raw)	-1.792	eV/atom

a b c (Å): 5.859 6.556 5.859
angles (deg): 63.46 90.00 116.54
Fractional coordinates of all 14 atoms:
Pr 0.000 0.000 0.000
Pd 0.375 0.750 0.875
O 0.597 0.600 0.051
O 0.349 0.400 0.597
Pd 0.375 0.750 0.375
Pd 0.375 0.250 0.375
Pr 0.750 0.500 0.750
Pd 0.875 0.250 0.375
O 0.003 0.600 0.349
O 0.401 0.100 0.153
O 0.153 0.900 0.699
O 0.699 0.100 0.747
O 0.747 0.900 0.401
O 0.051 0.400 0.003

Record 9
Below is a crystal of Tl3TePt relaxed with PBEsol, with properties calculated at the SCAN level.

ΔE_f (raw)	-0.199	eV/atom

a b c (Å): 5.270 5.270 5.270
angles (deg): 90.00 90.00 90.00
Fractional coordinates of all 5 atoms:
Tl 0.000 0.000 0.500
Tl 0.500 0.000 0.000
Pt 0.000 0.000 0.000
Tl 0.000 0.500 0.000
Te 0.500 0.500 0.500

Record 10
Below is a crystal of Ta2InCo relaxed with PBEsol, with properties calculated at the SCAN level.

VASP energy	-45.8614	eV/atom

a b c (Å): 3.005 4.756 5.386
angles (deg): 116.20 106.20 90.00
Each line ends with the local moment (μB).
Fractional coordinates of all 4 atoms:
In 0.224 0.724 0.448  0.02
Ta 0.776 0.276 0.552  -0.06
Ta 0.012 0.012 0.024  0.08
Co 0.488 0.488 0.976  1.55

Record 11
Below is a crystal of KRe2Sb relaxed with PBEsol, with properties calculated at the SCAN level.

ΔE_f (raw)	1.329	eV/atom

a b c (Å): 2.859 5.096 6.060
angles (deg): 114.86 103.65 90.00
Fractional coordinates of all 4 atoms:
K 0.000 0.500 0.000
Re 0.786 0.786 0.573
Re 0.214 0.214 0.427
Sb 0.500 0.000 0.000

Record 12
Below is a crystal of NaCaMgCrSi4O12 relaxed with PBEsol, with properties calculated at the SCAN level.

ΔE_f (raw)	-3.029	eV/atom

a b c (Å): 5.275 6.540 6.540
angles (deg): 84.59 77.69 77.69
Each line ends with the local moment (μB).
Fractional coordinates of all 20 atoms:
O 0.624 0.030 0.196  0.01
Mg 0.500 0.089 0.911  0.00
O 0.376 0.804 0.970  0.01
O 0.249 0.362 0.337  0.00
Ca 0.000 0.303 0.697  0.00
Na 0.500 0.702 0.298  0.00
O 0.941 0.620 0.102  0.01
O 0.098 0.198 0.032  0.00
Si 0.016 0.384 0.197  0.00
Si 0.524 0.195 0.381  0.00
O 0.751 0.663 0.638  0.00
O 0.433 0.107 0.616  0.00
O 0.567 0.384 0.893  0.00
O 0.902 0.968 0.802  0.00
Si 0.476 0.619 0.805  0.00
Si 0.984 0.803 0.616  0.00
O 0.751 0.340 0.374  0.00
O 0.249 0.626 0.660  0.00
Cr 0.000 0.907 0.093  2.82
O 0.059 0.898 0.380  0.01